Density functional theory data (PBE with a Hubbard U) for PuV2O8 after structural relaxation.

```
11
Lattice="6.648 -2.725 0.000 6.648 2.725 0.000 -0.241 0.000 5.400" Properties=species:S:1:pos:R:3 pbc="T T T"
Pu 0.000 0.000 0.000
V 1.930 0.000 2.298
V 11.126 0.000 3.101
O 1.321 0.000 3.953
O 5.312 1.498 4.185
O 3.559 0.000 2.146
O 7.743 1.498 1.215
O 5.312 -1.498 4.185
O 9.496 0.000 3.254
O 7.743 -1.498 1.215
O 11.734 0.000 1.447
```

final energy: -89.712 eV per cell
ρ: 4.022 Mg/m³
DOS at the Fermi energy: 4.418 states/eV per cell